[1]
Entry from Alexandria via LeMat-Bulk: a relaxed K2BaLi crystal (PBE).

It has space group Cm (No. 8), with a = 14.312 Å, b = 4.520 Å, c = 7.903 Å, α = 90.00°, β = 115.96° and γ = 90.00°. The distinct sites, in fractional coordinates, are K at (0.000, 0.000, 0.000), K at (0.208, 0.000, 0.774), Ba at (0.396, 0.000, 0.411) and Li at (0.176, 0.500, 0.378).

For the final energy, the calculation gives -1.356 eV/atom. Its crystal system is monoclinic. For the formation energy, the calculation gives 152 meV per atom. The calculation puts the density of states at the Fermi level at 1.15 states/eV/atom. The offset from the most stable computed form is 6.9 kJ per mole of atoms.

[2]
Entry from Alexandria via LeMat-Bulk: a relaxed KBaLiMg crystal (PBE).

It has space group F-43m (No. 216), with a = 8.802 Å, b = 8.802 Å, c = 8.802 Å, α = 90.00°, β = 90.00° and γ = 90.00°. The distinct sites, in fractional coordinates, are K at (0.000, 0.000, 0.000), Ba at (0.000, 0.000, 0.500), Li at (0.250, 0.250, 0.250) and Mg at (0.250, 0.250, 0.750).

For the final energy, the calculation gives -1.493 eV/atom. Its crystal system is cubic. For the formation energy, the calculation gives 139 meV per atom. The calculation puts the density of states at the Fermi level at 1.12 states/eV/atom.

[3]
Entry from Alexandria via LeMat-Bulk: a relaxed KBaLiMn2 crystal (PBE).

It has space group P4/mmm (No. 123), with a = 5.381 Å, b = 5.381 Å, c = 5.773 Å, α = 90.00°, β = 90.00° and γ = 90.00°. The distinct sites, in fractional coordinates, are K at (0.000, 0.000, 0.000), Ba at (0.500, 0.500, 0.000), Li at (0.500, 0.500, 0.500) and Mn at (0.000, 0.500, 0.500).

For the final energy, the calculation gives -3.749 eV/atom. Its crystal system is tetragonal. For the formation energy, the calculation gives 906 meV per atom. The calculation puts the density of states at the Fermi level at 1.22 states/eV/atom.